DFT (PBE-GGA) results for crystalline CePuOsPd at its relaxed geometry.

Results
* calculated volume: 21.009 Å³ per atom
* symmetry: F-43m
* formation energy: -0.272 eV per atom
* density of states at the Fermi level: 10.960 states/eV per cell
* DFT total energy: -9.444 eV/atom
* crystal system: cubic

```
data_CePuOsPd
_chemical_formula_sum 'Ce1 Pu1 Os1 Pd1'
_cell_length_a 4.917
_cell_length_b 4.917
_cell_length_c 4.917
_cell_angle_alpha 60.00
_cell_angle_beta 60.00
_cell_angle_gamma 60.00
_symmetry_space_group_name_H-M 'P 1'
_symmetry_Int_Tables_number 1
_symmetry_space_group_name_Hall 'P 1'
loop_
_atom_site_label
_atom_site_fract_x
_atom_site_fract_y
_atom_site_fract_z
Pu1 0.250 0.250 0.250
Ce1 0.750 0.750 0.750
Os1 0.500 0.500 0.500
Pd1 0.000 0.000 0.000
```

DFT (PBE-GGA) results for crystalline KMo2Au at its relaxed geometry.

Results
* calculated volume: 19.050 Å³ per atom
* symmetry: F-43m
* formation energy: 1.216 eV per atom
* density of states at the Fermi level: 2.323 states/eV per cell
* DFT total energy: -5.293 eV/atom
* crystal system: cubic

```
data_KMo2Au
_chemical_formula_sum 'K1 Mo2 Au1'
_cell_length_a 4.759
_cell_length_b 4.759
_cell_length_c 4.759
_cell_angle_alpha 60.00
_cell_angle_beta 60.00
_cell_angle_gamma 60.00
_symmetry_space_group_name_H-M 'P 1'
_symmetry_Int_Tables_number 1
_symmetry_space_group_name_Hall 'P 1'
loop_
_atom_site_label
_atom_site_fract_x
_atom_site_fract_y
_atom_site_fract_z
Mo1 0.250 0.250 0.250
Mo2 0.000 0.000 0.000
K1 0.750 0.750 0.750
Au1 0.500 0.500 0.500
```

DFT (PBE-GGA) results for crystalline Rb3SrTl3I8 at its relaxed geometry.

Results
* calculated volume: 51.273 Å³ per atom
* symmetry: R-3m
* density of states at the Fermi level: 0.000 states/eV per cell
* formation energy (no corrections): -1.209 eV per atom
* DFT total energy: -2.815 eV/atom
* crystal system: trigonal

```
data_Rb3SrTl3I8
_chemical_formula_sum 'Rb3 Sr1 Tl3 I8'
_cell_length_a 10.175
_cell_length_b 10.173
_cell_length_c 10.400
_cell_angle_alpha 119.30
_cell_angle_beta 90.00
_cell_angle_gamma 120.00
_symmetry_space_group_name_H-M 'P 1'
_symmetry_Int_Tables_number 1
_symmetry_space_group_name_Hall 'P 1'
loop_
_atom_site_label
_atom_site_fract_x
_atom_site_fract_y
_atom_site_fract_z
Tl1 0.500 0.000 0.500
Tl2 0.000 0.500 0.500
I1 0.772 0.543 0.280
Rb1 0.500 0.500 0.000
Rb2 0.000 0.000 0.000
I2 0.772 0.008 0.280
I3 0.236 0.008 0.280
Tl3 0.500 0.500 0.500
I4 0.228 0.457 0.720
Rb3 0.000 0.500 0.000
I5 0.254 0.507 0.261
I6 0.746 0.493 0.739
I7 0.228 0.992 0.720
I8 0.764 0.992 0.720
Sr1 0.000 0.000 0.500
```